# 1
Ce8Ge4Se3: relaxed, GGA-PBE.

Cell lengths 8.461, 8.419, 8.419 Å; angles 90.10, 120.08, 120.08 degrees
Each line ends with the local moment (μB).
Fractional positions:
Ce1 0.493 0.245 0.245  0.89
Ce2 0.000 0.752 0.248  0.79
Ce3 0.998 0.249 0.249  0.68
Ce4 0.500 0.751 0.249  0.60
Ce5 0.500 0.249 0.751  0.60
Ce6 0.002 0.751 0.751  0.68
Ce7 0.000 0.248 0.752  0.79
Ce8 0.507 0.755 0.755  0.89
Ge1 0.500 0.000 0.000  -0.04
Ge2 0.000 0.500 0.000  -0.03
Ge3 0.000 0.000 0.000  -0.04
Ge4 0.000 0.000 0.500  -0.03
Se1 0.500 0.500 0.000  -0.02
Se2 0.500 0.000 0.500  -0.02
Se3 0.500 0.500 0.500  -0.02

Formation energy from raw total energies in eV/atom: -1.07
Calculated volume in Å³ per cell: 423
Total DFT energy (no corrections) in eV for the cell shown: -92.50
DOS(E_F) in states/eV/atom: 2.633

# 2
Sc5Cd2Ni2Ru: relaxed, GGA-PBE.

Cell lengths 3.227, 10.914, 10.914 Å; angles 90.00, 90.00, 90.00 degrees
Fractional positions:
Sc1 0.500 0.195 0.068
Sc2 0.500 0.805 0.932
Sc3 0.500 0.068 0.805
Sc4 0.500 0.695 0.432
Sc5 0.500 0.932 0.195
Sc6 0.500 0.305 0.568
Sc7 0.500 0.568 0.695
Sc8 0.500 0.432 0.305
Sc9 0.500 0.500 0.000
Sc10 0.500 0.000 0.500
Cd1 0.000 0.675 0.175
Cd2 0.000 0.325 0.825
Cd3 0.000 0.175 0.325
Cd4 0.000 0.825 0.675
Ni1 0.000 0.131 0.631
Ni2 0.000 0.869 0.369
Ni3 0.000 0.631 0.869
Ni4 0.000 0.369 0.131
Ru1 0.000 0.000 0.000
Ru2 0.000 0.500 0.500

Formation energy in eV/atom: -0.399
Calculated volume in Å³ per cell: 384
Total DFT energy (no corrections) in eV for the cell shown: -116.63
DOS(E_F) in states/eV/atom: 0.500

# 3
Sr4Cd2Ag: relaxed, GGA-PBE.

Cell lengths 6.074, 6.074, 9.254 Å; angles 109.16, 109.16, 90.00 degrees
Fractional positions:
Sr1 0.805 0.805 0.610
Sr2 0.195 0.195 0.390
Sr3 0.000 0.500 0.000
Sr4 0.500 0.000 0.000
Ag1 0.000 0.000 0.000
Cd1 0.599 0.599 0.199
Cd2 0.401 0.401 0.801

Formation energy in eV/atom: -0.092
Calculated volume in Å³ per cell: 302
Total DFT energy (no corrections) in eV for the cell shown: -12.05
DOS(E_F) in states/eV/atom: 1.024
Energy relative to the lowest polymorph listed for this composition in eV/f.u.: 0.84

# 4
CsTl2Sb: relaxed, GGA-PBE.

Cell lengths 5.119, 5.119, 7.898 Å; angles 71.09, 71.09, 60.00 degrees
Fractional positions:
Cs1 0.500 0.500 0.500
Sb1 0.000 0.000 0.000
Tl1 0.275 0.275 0.174
Tl2 0.725 0.725 0.826

Formation energy from raw total energies in eV/atom: -0.20
Calculated volume in Å³ per cell: 166
Total DFT energy (no corrections) in eV for the cell shown: -10.52
DOS(E_F) in states/eV/atom: 0.150
Energy relative to the lowest polymorph listed for this composition in eV/f.u.: 0.10

# 5
K3YPd: relaxed, GGA-PBE.

Cell lengths 6.862, 6.862, 6.862 Å; angles 90.00, 90.00, 90.00 degrees
Each line ends with the local moment (μB).
Fractional positions:
Y1 0.000 0.000 0.000  0.91
K1 0.000 0.500 0.000  0.03
K2 0.000 0.000 0.500  0.02
K3 0.500 0.000 0.000  0.03
Pd1 0.500 0.500 0.500  -0.21

Formation energy in eV/atom: 1.285
Calculated volume in Å³ per cell: 323
Total DFT energy (no corrections) in eV for the cell shown: -8.52
DOS(E_F) in states/eV/atom: 6.143
Energy relative to the lowest polymorph listed for this composition in eV/f.u.: 3.45

# 6
Ti2AlGaAu: relaxed, GGA-PBE.

Cell lengths 4.956, 4.662, 4.956 Å; angles 90.00, 90.00, 90.00 degrees
Fractional positions:
Au1 0.000 0.000 0.000
Al1 0.000 0.500 0.000
Ga1 0.500 0.500 0.500
Ti1 0.000 0.000 0.500
Ti2 0.500 0.000 0.000

Formation energy in eV/atom: 0.527
Calculated volume in Å³ per cell: 115
Total DFT energy (no corrections) in eV for the cell shown: -23.20
DOS(E_F) in states/eV/atom: 0.844

# 7
Y2SiF: relaxed, GGA-PBE.

Cell lengths 4.867, 4.867, 4.867 Å; angles 60.00, 60.00, 60.00 degrees
Fractional positions:
Y1 0.250 0.250 0.250
Y2 0.750 0.750 0.750
Si1 0.500 0.500 0.500
F1 0.000 0.000 0.000

Formation energy from raw total energies in eV/atom: -1.32
Calculated volume in Å³ per cell: 82
Total DFT energy (no corrections) in eV for the cell shown: -25.48
DOS(E_F) in states/eV/atom: 0.660
Energy relative to the lowest polymorph listed for this composition in eV/f.u.: 0.00

# 8
Ho5GeSb4: relaxed, GGA-PBE.

Cell lengths 6.119, 7.484, 7.484 Å; angles 80.38, 65.87, 65.87 degrees
Fractional positions:
Ho1 0.903 0.386 0.810
Ho2 0.289 0.810 0.614
Ho3 0.713 0.190 0.386
Ho4 0.099 0.614 0.190
Ho5 0.501 0.000 0.000
Ge1 0.001 0.000 0.000
Sb1 0.406 0.398 0.792
Sb2 0.804 0.792 0.602
Sb3 0.198 0.208 0.398
Sb4 0.596 0.602 0.208

Formation energy from raw total energies in eV/atom: -1.01
Calculated volume in Å³ per cell: 285
Total DFT energy (no corrections) in eV for the cell shown: -54.10
DOS(E_F) in states/eV/atom: 0.396

# 9
SiAgPd3: relaxed, GGA-PBE.

Cell lengths 4.511, 4.511, 4.511 Å; angles 90.00, 90.00, 90.00 degrees
Fractional positions:
Si1 0.000 0.000 0.000
Pd1 0.000 0.500 0.000
Pd2 0.000 0.000 0.500
Pd3 0.500 0.000 0.000
Ag1 0.500 0.500 0.500

Formation energy from raw total energies in eV/atom: -0.02
Calculated volume in Å³ per cell: 92
Total DFT energy (no corrections) in eV for the cell shown: -23.94
DOS(E_F) in states/eV/atom: 0.819
Energy relative to the lowest polymorph listed for this composition in eV/f.u.: 1.41

# 10
SrAcCu2S4: relaxed, GGA-PBE.

Cell lengths 6.726, 6.181, 6.181 Å; angles 65.92, 57.04, 57.04 degrees
Fractional positions:
Sr1 0.500 0.500 0.500
Ac1 0.000 0.000 0.000
Cu1 0.250 0.250 0.250
Cu2 0.750 0.750 0.750
S1 0.500 0.000 0.500
S2 0.000 0.000 0.500
S3 0.000 0.500 0.000
S4 0.500 0.500 0.000

Formation energy from raw total energies in eV/atom: -1.24
Calculated volume in Å³ per cell: 179
Total DFT energy (no corrections) in eV for the cell shown: -40.40
DOS(E_F) in states/eV/atom: 0.023

# 11
Pm8Tl2Zn: relaxed, GGA-PBE.

Cell lengths 5.405, 6.832, 9.613 Å; angles 92.64, 106.33, 90.00 degrees
Fractional positions:
Pm1 0.410 0.592 0.821
Pm2 0.664 0.907 0.329
Pm3 0.790 0.397 0.579
Pm4 0.029 0.767 0.059
Pm5 0.210 0.603 0.421
Pm6 0.336 0.093 0.671
Pm7 0.590 0.408 0.179
Pm8 0.971 0.233 0.941
Tl1 0.843 0.847 0.685
Tl2 0.157 0.153 0.315
Zn1 0.500 0.000 0.000

Formation energy in eV/atom: -0.187
Calculated volume in Å³ per cell: 340
Total DFT energy (no corrections) in eV for the cell shown: -46.07
DOS(E_F) in states/eV/atom: 1.113
Energy relative to the lowest polymorph listed for this composition in eV/f.u.: 0.00

# 12
LiAc12Co5: relaxed, GGA-PBE.

Cell lengths 7.365, 7.365, 13.810 Å; angles 95.11, 95.11, 120.00 degrees
Fractional positions:
Li1 0.000 0.000 0.000
Ac1 0.203 0.203 0.613
Ac2 0.797 0.797 0.387
Ac3 0.423 0.423 0.127
Ac4 0.577 0.577 0.873
Ac5 0.663 0.043 0.128
Ac6 0.957 0.337 0.872
Ac7 0.043 0.663 0.128
Ac8 0.337 0.957 0.872
Ac9 0.460 0.129 0.387
Ac10 0.129 0.460 0.387
Ac11 0.871 0.540 0.613
Ac12 0.540 0.871 0.613
Co1 0.500 0.500 0.500
Co2 0.834 0.166 0.500
Co3 0.166 0.834 0.500
Co4 0.333 0.667 0.000
Co5 0.667 0.333 0.000

Formation energy in eV/atom: 0.021
Calculated volume in Å³ per cell: 638
Total DFT energy (no corrections) in eV for the cell shown: -86.37
DOS(E_F) in states/eV/atom: 1.129

# 13
KReRu: relaxed, GGA-PBE.

Cell lengths 6.829, 6.829, 6.829 Å; angles 156.54, 147.89, 40.15 degrees
Fractional positions:
K1 0.001 0.001 0.000
Re1 0.288 0.288 0.000
Ru1 0.711 0.711 0.000

Formation energy in eV/atom: 0.867
Calculated volume in Å³ per cell: 67
Total DFT energy (no corrections) in eV for the cell shown: -20.22
DOS(E_F) in states/eV/atom: 1.152
Energy relative to the lowest polymorph listed for this composition in eV/f.u.: 0.02

# 14
Na2Tl7Pb2: relaxed, GGA-PBE.

Cell lengths 5.890, 8.046, 8.046 Å; angles 87.81, 107.84, 107.84 degrees
Fractional positions:
Na1 0.392 0.798 0.798
Na2 0.608 0.202 0.202
Tl1 0.170 0.409 0.937
Tl2 0.830 0.063 0.591
Tl3 0.830 0.591 0.063
Tl4 0.170 0.937 0.409
Tl5 0.190 0.426 0.426
Tl6 0.000 0.000 0.000
Tl7 0.810 0.574 0.574
Pb1 0.500 0.239 0.761
Pb2 0.500 0.761 0.239

Formation energy in eV/atom: -0.009
Calculated volume in Å³ per cell: 345
Total DFT energy (no corrections) in eV for the cell shown: -26.72
DOS(E_F) in states/eV/atom: 0.464
Energy relative to the lowest polymorph listed for this composition in eV/f.u.: 0.32

# 15
SmPuRh: relaxed, GGA-PBE.

Cell lengths 3.646, 4.726, 4.726 Å; angles 120.00, 90.00, 90.00 degrees
Each line ends with the local moment (μB).
Fractional positions:
Rh1 0.942 0.000 0.000  -0.20
Sm1 0.313 0.333 0.667  0.14
Pu1 0.744 0.667 0.333  5.33

Formation energy in eV/atom: -0.194
Calculated volume in Å³ per cell: 71
Total DFT energy (no corrections) in eV for the cell shown: -26.98
DOS(E_F) in states/eV/atom: 2.969
Energy relative to the lowest polymorph listed for this composition in eV/f.u.: 0.76

# 16
AcNdIr: relaxed, GGA-PBE.

Cell lengths 3.692, 3.692, 7.354 Å; angles 104.54, 104.54, 90.00 degrees
Fractional positions:
Ac1 0.041 0.041 0.082
Ir1 0.672 0.672 0.344
Nd1 0.287 0.287 0.574

Formation energy in eV/atom: -0.364
Calculated volume in Å³ per cell: 94
Total DFT energy (no corrections) in eV for the cell shown: -18.83
DOS(E_F) in states/eV/atom: 0.955
Energy relative to the lowest polymorph listed for this composition in eV/f.u.: 0.52

# 17
Ce4ThBi6: relaxed, GGA-PBE.

Cell lengths 9.070, 9.070, 9.070 Å; angles 90.64, 90.64, 89.36 degrees
Each line ends with the local moment (μB).
Fractional positions:
Ce1 0.358 0.142 0.250  0.69
Ce2 0.858 0.250 0.358  0.69
Ce3 0.250 0.642 0.142  0.69
Ce4 0.250 0.250 0.750  0.69
Ce5 0.750 0.750 0.250  0.69
Ce6 0.750 0.358 0.858  0.69
Ce7 0.142 0.750 0.642  0.69
Ce8 0.642 0.858 0.750  0.69
Th1 0.500 0.500 0.500  -0.03
Th2 0.000 0.000 0.000  -0.03
Bi1 0.666 0.066 0.082  -0.05
Bi2 0.082 0.334 0.066  -0.05
Bi3 0.582 0.434 0.166  -0.05
Bi4 0.934 0.082 0.666  -0.05
Bi5 0.566 0.166 0.582  -0.05
Bi6 0.166 0.418 0.434  -0.05
Bi7 0.834 0.582 0.566  -0.05
Bi8 0.434 0.834 0.418  -0.05
Bi9 0.066 0.918 0.334  -0.05
Bi10 0.418 0.566 0.834  -0.05
Bi11 0.918 0.666 0.934  -0.05
Bi12 0.334 0.934 0.918  -0.05

Formation energy in eV/atom: -0.601
Calculated volume in Å³ per cell: 746
Total DFT energy (no corrections) in eV for the cell shown: -122.11
DOS(E_F) in states/eV/atom: 2.428

# 18
MgGa2Au: relaxed, GGA-PBE.

Cell lengths 7.889, 7.889, 6.189 Å; angles 50.40, 50.40, 90.00 degrees
Fractional positions:
Mg1 0.500 0.500 0.000
Mg2 0.250 0.750 0.500
Au1 0.000 0.000 0.000
Au2 0.750 0.250 0.500
Ga1 0.669 0.125 0.250
Ga2 0.081 0.625 0.250
Ga3 0.375 0.331 0.750
Ga4 0.875 0.919 0.750

Formation energy in eV/atom: -0.143
Calculated volume in Å³ per cell: 167
Total DFT energy (no corrections) in eV for the cell shown: -22.99
DOS(E_F) in states/eV/atom: 0.341

# 19
SrCaPr2: relaxed, GGA-PBE.

Cell lengths 3.823, 3.823, 12.958 Å; angles 81.52, 81.52, 60.00 degrees
Each line ends with the local moment (μB).
Fractional positions:
Sr1 0.500 0.500 0.499  0.01
Ca1 0.666 0.666 0.001  0.01
Pr1 0.081 0.081 0.757  0.00
Pr2 0.252 0.252 0.243  0.07

Formation energy in eV/atom: 0.124
Calculated volume in Å³ per cell: 162
Total DFT energy (no corrections) in eV for the cell shown: -12.75
DOS(E_F) in states/eV/atom: 1.808
Energy relative to the lowest polymorph listed for this composition in eV/f.u.: 0.00

# 20
Mg7Si4: relaxed, GGA-PBE.

Cell lengths 6.432, 5.498, 13.245 Å; angles 101.42, 104.93, 89.91 degrees
Fractional positions:
Mg1 0.395 0.016 0.237
Mg2 0.112 0.533 0.271
Mg3 0.986 0.076 0.361
Mg4 0.652 0.568 0.345
Mg5 0.868 0.410 0.026
Mg6 0.078 0.660 0.524
Mg7 0.304 0.332 0.870
Mg8 0.323 0.208 0.625
Mg9 0.386 0.450 0.103
Mg10 0.579 0.892 0.990
Mg11 0.068 0.868 0.940
Mg12 0.325 0.778 0.761
Mg13 0.760 0.162 0.526
Mg14 0.605 0.699 0.604
Si1 0.691 0.088 0.824
Si2 0.751 0.207 0.181
Si3 0.751 0.767 0.181
Si4 0.962 0.485 0.717
Si5 0.693 0.535 0.824
Si6 0.375 0.887 0.434
Si7 0.373 0.341 0.434
Si8 0.960 0.028 0.718

Formation energy from raw total energies in eV/atom: 0.04
Calculated volume in Å³ per cell: 443
Total DFT energy (no corrections) in eV for the cell shown: -64.92
DOS(E_F) in states/eV/atom: 0.360
Energy relative to the lowest polymorph listed for this composition in eV/f.u.: 0.22

# 21
NbAuSCl2: relaxed, GGA-PBE.

Cell lengths 4.877, 4.877, 4.827 Å; angles 90.00, 90.00, 90.00 degrees
Fractional positions:
Nb1 0.000 0.000 0.000
Au1 0.500 0.500 0.500
S1 0.000 0.000 0.500
Cl1 0.000 0.500 0.000
Cl2 0.500 0.000 0.000

Formation energy from raw total energies in eV/atom: -0.19
Calculated volume in Å³ per cell: 115
Total DFT energy (no corrections) in eV for the cell shown: -22.13
DOS(E_F) in states/eV/atom: 0.817
Energy relative to the lowest polymorph listed for this composition in eV/f.u.: 0.00

# 22
TaTeRh2: relaxed, GGA-PBE.

Cell lengths 4.986, 4.986, 4.663 Å; angles 84.15, 84.15, 37.44 degrees
Fractional positions:
Ta1 0.516 0.516 0.446
Te1 0.749 0.749 0.778
Rh1 0.987 0.987 0.009
Rh2 0.248 0.248 0.267

Formation energy from raw total energies in eV/atom: -0.14
Calculated volume in Å³ per cell: 70
Total DFT energy (no corrections) in eV for the cell shown: -30.26
DOS(E_F) in states/eV/atom: 0.861

# 23
Tb4Y7Tm: relaxed, GGA-PBE.

Cell lengths 6.808, 8.738, 9.075 Å; angles 83.36, 94.01, 47.58 degrees
Fractional positions:
Tb1 0.546 0.643 0.283
Tb2 0.454 0.357 0.717
Tb3 0.780 0.839 0.693
Tb4 0.220 0.161 0.307
Y1 0.737 0.511 0.950
Y2 0.263 0.489 0.050
Y3 0.986 0.319 0.638
Y4 0.014 0.681 0.362
Y5 0.297 0.810 0.616
Y6 0.500 0.000 0.000
Y7 0.703 0.190 0.384
Tm1 0.000 0.000 0.000

Formation energy in eV/atom: 0.089
Calculated volume in Å³ per cell: 388
Total DFT energy (no corrections) in eV for the cell shown: -67.17
DOS(E_F) in states/eV/atom: 1.794